[1]
A plane-wave DFT calculation with PBE-GGA was carried out for GaTeH after structural relaxation.

The value obtained for the total energy is -20.55 eV/cell.

Structure (extended XYZ):
```
6
Lattice="4.1357 0.0000 0.0000 2.0667 3.5839 0.0000 1.9716 0.9244 11.3717" Properties=species:S:1:pos:R:3 pbc="T T T"
Ga 5.4859 2.4235 6.9637
Ga 5.4933 2.4327 4.5086
H 1.7258 2.7251 0.2986
H 3.3782 3.1290 11.2310
Te 3.4190 1.2288 8.2281
Te 3.4252 3.6278 3.2439
```

[2]
A plane-wave DFT calculation with PBE-GGA was carried out for Sc2Ga4Tc after structural relaxation.

The value obtained for the total energy is -35.87 eV/cell.

Structure (extended XYZ):
```
7
Lattice="4.6900 0.0000 0.0000 0.0000 4.6900 0.0000 2.3450 2.3450 6.9233" Properties=species:S:1:pos:R:3 pbc="T T T"
Ga 2.3450 0.0000 0.0000
Ga 0.0000 2.3450 0.0000
Ga 2.3450 2.3450 4.4082
Ga 4.6900 4.6900 2.5151
Sc 2.3450 2.3450 1.7045
Sc 4.6900 4.6900 5.2188
Tc 0.0000 0.0000 0.0000
```